# 1
Density functional theory data (PBE) for a relaxed DyHfSb2 crystal.

Cell: 3.412 3.412 11.003 Å, 81.08 81.08 60.00°
Sites, in units of the cell vectors:
Sb 0.097 0.097 0.710
Sb 0.903 0.903 0.290
Hf 0.500 0.500 0.500
Dy 0.000 0.000 0.000

Results
Energy above the lowest structure with this stoichiometry: 564 meV per atom
Energy: -23.32 eV/cell
Raw formation energy: -0.13 eV/atom



# 2
Density functional theory data (PBE) for a relaxed Ac5TbNd2Sm crystal.

Cell: 8.483 8.483 11.927 Å, 110.83 110.83 90.00°
Sites, in units of the cell vectors:
Ac 0.914 0.414 0.274
Ac 0.640 0.140 0.726
Ac 0.086 0.586 0.726
Ac 0.140 0.086 0.726
Ac 0.586 0.640 0.726
Ac 0.860 0.914 0.274
Ac 0.414 0.360 0.274
Ac 0.360 0.860 0.274
Ac 0.500 0.500 0.000
Ac 0.000 0.000 0.000
Tb 0.250 0.750 0.500
Tb 0.750 0.250 0.500
Nd 0.122 0.378 0.000
Nd 0.622 0.122 0.000
Nd 0.378 0.878 0.000
Nd 0.878 0.622 0.000
Sm 0.250 0.250 0.500
Sm 0.750 0.750 0.500

Results
ΔH_f (0 K): 285 meV/atom
Energy: -73.72 eV/cell



# 3
Density functional theory data (PBE) for a relaxed Dy5Ni2Pd crystal.

Cell: 7.499 7.499 8.451 Å, 116.34 116.34 90.00°
Sites, in units of the cell vectors:
Dy 0.526 0.696 0.722
Dy 0.804 0.974 0.278
Dy 0.000 0.000 0.000
Dy 0.500 0.500 0.000
Dy 0.196 0.026 0.722
Dy 0.696 0.196 0.722
Dy 0.026 0.526 0.722
Dy 0.304 0.804 0.278
Dy 0.974 0.474 0.278
Dy 0.474 0.304 0.278
Ni 0.126 0.374 0.000
Ni 0.626 0.126 0.000
Ni 0.374 0.874 0.000
Ni 0.874 0.626 0.000
Pd 0.750 0.750 0.500
Pd 0.250 0.250 0.500

Results
ΔH_f (0 K): -453 meV/atom
Energy: -86.78 eV/cell



# 4
Density functional theory data (PBE) for a relaxed SrTl2Cl crystal.

Cell: 5.525 5.525 5.525 Å, 60.00 60.00 60.00°
Sites, in units of the cell vectors:
Cl 0.500 0.500 0.500
Sr 0.750 0.750 0.750
Tl 0.000 0.000 0.000
Tl 0.250 0.250 0.250

Results
Energy above the lowest structure with this stoichiometry: 221 meV per atom
Energy: -10.74 eV/cell
Raw formation energy: -0.62 eV/atom